Crystalline K2NaCuSi at its relaxed geometry. Source: Alexandria, functional PBE-GGA.

The structure in POSCAR format:
```
K2NaCuSi
1.0
6.449 0.000 0.000
0.000 6.449 0.000
0.000 0.000 5.614
K Na Cu Si
2 1 1 1
Direct
0.000 0.500 0.000
0.500 0.000 0.000
0.000 0.000 0.500
0.500 0.500 0.500
0.000 0.000 0.000
```

VASP energy: -9.9 eV per formula unit
Magnetization: 2.0 μB per cell
Formation energy (no corrections): 629.0 meV per atom